(1)
12
Lattice="-5.2659 -0.5235 -0.5320 1.0021 -6.7344 -3.3194 1.7645 -0.0848 9.3366" Properties=species:S:1:pos:R:3 comment="Er3TmTl2 (PBE-GGA, relaxed)" n_ef_per_ev_cell=14.9 delta_e_f_ev_per_atom=-0.188 final_energy_ev_per_atom=-4.003 relative_energy_ev_per_atom=0.070 m_tot_mub_per_fu=0.0 pbc="T T T"
Tl -2.7469 -1.4002 2.0061
Tl -2.2457 -4.7674 0.3466
Er 0.6202 -6.3657 0.1383
Tm 0.0000 0.0000 0.0000
Tl -0.2536 -2.5753 5.1386
Er 0.1191 -2.9983 1.7981
Tm 0.5011 -3.3672 -1.6597
Tl 0.2475 -5.9426 3.4790
Er -2.3825 -1.9450 -1.0957
Er -2.6185 -4.3444 3.6871
Er -3.1196 -0.9770 5.3469
Er -0.1168 -5.3977 6.5808


(2)
8
Lattice="7.6972 0.0000 0.0000 0.0000 7.6972 0.0000 3.8486 3.8486 2.6141" Properties=species:S:1:pos:R:3 comment="LiNb2Tl (PBE-GGA, relaxed)" n_ef_per_ev_cell=3.4 delta_e_f_ev_per_atom=0.673 final_energy_ev_per_atom=-5.432 m_tot_mub_per_fu=0.0 pbc="T T T"
Tl 0.0000 0.0000 0.0000
Nb 9.6215 9.5460 1.9606
Nb 5.7729 5.8484 1.9606
Nb 1.9998 5.7729 0.6535
Tl 7.6972 3.8486 1.3071
Nb 5.6974 1.9243 0.6535
Li 3.8486 3.8486 0.0000
Li 3.8486 7.6972 1.3071


(3)
14
Lattice="7.5170 0.0000 0.0000 3.7585 6.9684 0.0586 3.7585 2.1787 6.6194" Properties=species:S:1:pos:R:3 comment="NaLiUS4 (PBE-GGA, relaxed)" final_energy_ev_per_atom=-5.592 m_tot_mub_per_fu=0.0 pbc="T T T"
Na 1.8793 1.0893 3.3097
Li 7.5170 4.4023 0.6995
S 7.5171 2.0086 1.4016
S 3.7585 2.6267 1.8528
Na 5.6378 1.0893 3.3097
U 3.7585 4.5736 3.3390
S 11.2756 6.5204 4.8251
S 9.5900 5.7369 1.6739
Li 7.5170 4.7448 5.9784
S 5.4441 3.4102 5.0040
S 5.4441 5.7369 1.6739
S 9.5900 3.4102 5.0040
U 0.0000 0.0000 0.0000
S 7.5170 7.1385 5.2763